Entry from Alexandria via LeMat-Bulk: a relaxed MnAlI2O crystal (PBE with a Hubbard U).

```
data_MnAlI2O
_chemical_formula_sum 'Mn1 Al1 I2 O1'
_cell_length_a 5.822
_cell_length_b 5.822
_cell_length_c 3.540
_cell_angle_alpha 90.00
_cell_angle_beta 90.00
_cell_angle_gamma 90.00
_space_group_name_H-M_alt 'P 1'
_space_group_IT_number 1
_space_group_name_Hall 'P 1'
loop_
_atom_site_label
_atom_site_fract_x
_atom_site_fract_y
_atom_site_fract_z
Mn1 0.000 0.000 0.000
Al1 0.500 0.500 0.500
I1 0.000 0.500 0.500
I2 0.500 0.000 0.500
O1 0.500 0.500 0.000
```

Properties
spin magnetization = 5.47 μB per formula unit
energy above the most stable polymorph in this dataset = 0 meV per atom
SG = P4/mmm (123)